1.
Below is CsK3Tc at its PBEsol-relaxed geometry, with properties calculated at the meta-GGA SCAN level.

Geometry as CIF:
```
data_CsK3Tc
_symmetry_space_group_name_H-M 'P 1'
_symmetry_Int_Tables_number 1
_cell_length_a 6.661
_cell_length_b 6.661
_cell_length_c 6.661
_cell_angle_alpha 90.00
_cell_angle_beta 90.00
_cell_angle_gamma 90.00
loop_
_symmetry_equiv_pos_as_xyz
'x,y,z'
loop_
_atom_site_label
_atom_site_fract_x
_atom_site_fract_y
_atom_site_fract_z
Cs1 0.000 0.000 0.000
K1 0.000 0.500 0.500
K2 0.500 0.000 0.500
K3 0.500 0.500 0.000
Tc1 0.500 0.500 0.500
```

## Properties
Its total energy is -93.0 eV for the cell shown. The crystal system is cubic.



2.
Below is CsK2Te2 at its PBEsol-relaxed geometry, with properties calculated at the meta-GGA SCAN level.

Geometry as CIF:
```
data_CsK2Te2
_symmetry_space_group_name_H-M 'P 1'
_symmetry_Int_Tables_number 1
_cell_length_a 9.980
_cell_length_b 9.980
_cell_length_c 3.720
_cell_angle_alpha 90.00
_cell_angle_beta 90.00
_cell_angle_gamma 90.00
loop_
_symmetry_equiv_pos_as_xyz
'x,y,z'
loop_
_atom_site_label
_atom_site_fract_x
_atom_site_fract_y
_atom_site_fract_z
Cs1 0.000 0.000 0.000
Cs2 0.500 0.500 0.000
K1 0.121 0.379 0.000
K2 0.379 0.879 0.000
K3 0.621 0.121 0.000
K4 0.879 0.621 0.000
Te1 0.176 0.676 0.500
Te2 0.324 0.176 0.500
Te3 0.676 0.824 0.500
Te4 0.824 0.324 0.500
```

## Properties
As for the formation energy without anion corrections: -1.07 eV per atom. The crystal system is tetragonal.



3.
Below is Cs3KZr at its PBEsol-relaxed geometry, with properties calculated at the meta-GGA SCAN level.

Geometry as CIF:
```
data_Cs3KZr
_symmetry_space_group_name_H-M 'P 1'
_symmetry_Int_Tables_number 1
_cell_length_a 7.226
_cell_length_b 7.226
_cell_length_c 7.226
_cell_angle_alpha 90.00
_cell_angle_beta 90.00
_cell_angle_gamma 90.00
loop_
_symmetry_equiv_pos_as_xyz
'x,y,z'
loop_
_atom_site_label
_atom_site_fract_x
_atom_site_fract_y
_atom_site_fract_z
Cs1 0.000 0.000 0.500
Cs2 0.000 0.500 0.000
Cs3 0.500 0.000 0.000
K1 0.500 0.500 0.500
Zr1 0.000 0.000 0.000
```

## Properties
Its total energy is -148.4 eV for the cell shown. The crystal system is cubic.



4.
Below is CsLiLa2 at its PBEsol-relaxed geometry, with properties calculated at the meta-GGA SCAN level.

Geometry as CIF:
```
data_CsLiLa2
_symmetry_space_group_name_H-M 'P 1'
_symmetry_Int_Tables_number 1
_cell_length_a 5.707
_cell_length_b 5.707
_cell_length_c 5.707
_cell_angle_alpha 60.00
_cell_angle_beta 60.00
_cell_angle_gamma 60.00
loop_
_symmetry_equiv_pos_as_xyz
'x,y,z'
loop_
_atom_site_label
_atom_site_fract_x
_atom_site_fract_y
_atom_site_fract_z
Cs1 0.000 0.000 0.000
Li1 0.500 0.500 0.500
La1 0.250 0.250 0.250
La2 0.750 0.750 0.750
```

## Properties
Its total energy is -124.5 eV for the cell shown. The crystal system is cubic.



5.
Below is CsLi2LaSb at its PBEsol-relaxed geometry, with properties calculated at the meta-GGA SCAN level.

Geometry as CIF:
```
data_CsLi2LaSb
_symmetry_space_group_name_H-M 'P 1'
_symmetry_Int_Tables_number 1
_cell_length_a 6.313
_cell_length_b 6.313
_cell_length_c 6.022
_cell_angle_alpha 90.00
_cell_angle_beta 90.00
_cell_angle_gamma 90.00
loop_
_symmetry_equiv_pos_as_xyz
'x,y,z'
loop_
_atom_site_label
_atom_site_fract_x
_atom_site_fract_y
_atom_site_fract_z
Cs1 0.000 0.000 0.000
Li1 0.000 0.500 0.500
Li2 0.500 0.000 0.500
La1 0.500 0.500 0.500
Sb1 0.500 0.500 0.000
```

## Properties
As for the formation energy without anion corrections: 0.21 eV per atom. The crystal system is tetragonal.



6.
Below is CsLaPO2 at its PBEsol-relaxed geometry, with properties calculated at the meta-GGA SCAN level.

Geometry as CIF:
```
data_CsLaPO2
_symmetry_space_group_name_H-M 'P 1'
_symmetry_Int_Tables_number 1
_cell_length_a 4.452
_cell_length_b 4.452
_cell_length_c 5.456
_cell_angle_alpha 90.00
_cell_angle_beta 90.00
_cell_angle_gamma 90.00
loop_
_symmetry_equiv_pos_as_xyz
'x,y,z'
loop_
_atom_site_label
_atom_site_fract_x
_atom_site_fract_y
_atom_site_fract_z
Cs1 0.000 0.000 0.000
La1 0.500 0.500 0.500
P1 0.000 0.000 0.500
O1 0.000 0.500 0.000
O2 0.500 0.000 0.000
```

## Properties
As for the formation energy without anion corrections: -0.21 eV per atom. The crystal system is tetragonal.



7.
Below is CsLaS2O8 at its PBEsol-relaxed geometry, with properties calculated at the meta-GGA SCAN level.

Geometry as CIF:
```
data_CsLaS2O8
_symmetry_space_group_name_H-M 'P 1'
_symmetry_Int_Tables_number 1
_cell_length_a 7.908
_cell_length_b 5.492
_cell_length_c 18.620
_cell_angle_alpha 90.00
_cell_angle_beta 113.58
_cell_angle_gamma 90.00
loop_
_symmetry_equiv_pos_as_xyz
'x,y,z'
loop_
_atom_site_label
_atom_site_fract_x
_atom_site_fract_y
_atom_site_fract_z
Cs1 0.025 0.230 0.386
Cs2 0.025 0.270 0.886
Cs3 0.975 0.730 0.114
Cs4 0.975 0.770 0.614
La1 0.494 0.685 0.362
La2 0.494 0.815 0.862
La3 0.506 0.185 0.138
La4 0.506 0.315 0.638
S1 0.295 0.233 0.253
S2 0.295 0.267 0.753
S3 0.350 0.743 0.022
S4 0.350 0.757 0.522
S5 0.650 0.243 0.478
S6 0.650 0.257 0.978
S7 0.705 0.733 0.247
S8 0.705 0.767 0.747
O1 0.212 0.054 0.776
O2 0.212 0.446 0.276
O3 0.219 0.209 0.166
O4 0.219 0.291 0.666
O5 0.238 0.562 0.538
O6 0.238 0.938 0.038
O7 0.264 0.007 0.289
O8 0.264 0.493 0.789
O9 0.302 0.719 0.937
O10 0.302 0.781 0.437
O11 0.313 0.506 0.052
O12 0.313 0.994 0.552
O13 0.454 0.185 0.935
O14 0.454 0.315 0.435
O15 0.499 0.216 0.780
O16 0.499 0.284 0.280
O17 0.501 0.716 0.720
O18 0.501 0.784 0.220
O19 0.546 0.685 0.565
O20 0.546 0.815 0.065
O21 0.687 0.006 0.448
O22 0.687 0.494 0.948
O23 0.698 0.219 0.563
O24 0.698 0.281 0.063
O25 0.736 0.507 0.211
O26 0.736 0.993 0.711
O27 0.762 0.062 0.962
O28 0.762 0.438 0.462
O29 0.781 0.709 0.334
O30 0.781 0.791 0.834
O31 0.788 0.554 0.724
O32 0.788 0.946 0.224
```

## Properties
As for the formation energy without anion corrections: -2.40 eV per atom. The crystal system is monoclinic.



8.
Below is CsLaW2O8 at its PBEsol-relaxed geometry, with properties calculated at the meta-GGA SCAN level.

Geometry as CIF:
```
data_CsLaW2O8
_symmetry_space_group_name_H-M 'P 1'
_symmetry_Int_Tables_number 1
_cell_length_a 7.717
_cell_length_b 7.717
_cell_length_c 7.627
_cell_angle_alpha 117.08
_cell_angle_beta 117.08
_cell_angle_gamma 90.03
loop_
_symmetry_equiv_pos_as_xyz
'x,y,z'
loop_
_atom_site_label
_atom_site_fract_x
_atom_site_fract_y
_atom_site_fract_z
Cs1 0.198 0.802 0.750
Cs2 0.802 0.198 0.250
La1 0.227 0.773 0.250
La2 0.773 0.227 0.750
W1 0.306 0.314 0.275
W2 0.314 0.306 0.775
W3 0.686 0.694 0.225
W4 0.694 0.686 0.725
O1 0.061 0.213 0.698
O2 0.076 0.387 0.141
O3 0.213 0.061 0.198
O4 0.253 0.378 0.564
O5 0.372 0.581 0.025
O6 0.378 0.253 0.064
O7 0.387 0.076 0.641
O8 0.419 0.628 0.475
O9 0.581 0.372 0.525
O10 0.613 0.924 0.359
O11 0.622 0.747 0.936
O12 0.628 0.419 0.975
O13 0.747 0.622 0.436
O14 0.787 0.939 0.802
O15 0.924 0.613 0.859
O16 0.939 0.787 0.302
```

## Properties
As for the formation energy without anion corrections: -2.73 eV per atom. The crystal system is monoclinic.